(1)
VASP calculation (PBE-GGA) on an optimized crystal structure of NaPrSn2I8.

- Formation energy (no corrections): -0.901 eV/atom
- Crystal system: monoclinic

a = 7.3089 Å, b = 9.3577 Å, c = 7.8010 Å
α = 90.00°, β = 91.06°, γ = 90.00°
Closest atoms and distances in Å follow each position.
Space group P2/m (No. 10)
Asymmetric unit:
Na (0.0000, 0.0000, 0.0000)  6 I 3.20-3.37
Pr (0.0000, 0.5000, 0.0000)  6 I 3.16-3.18
Sn (0.5000, 0.2422, 0.5000)  6 I 3.10-3.34
I (0.2428, 0.5000, 0.6667)  1 Pr 3.18, 2 Sn 3.34
I (0.2462, 0.2535, 0.1560)  1 Pr 3.16, 1 Na 3.20, 1 Sn 3.24
I (0.2631, 0.0000, 0.6505)  2 Sn 3.10, 1 Na 3.37



(2)
VASP calculation (PBE-GGA) on an optimized crystal structure of KMnP3.

- Energy above the lowest structure with this stoichiometry: 0.0 meV/atom
- Crystal system: cubic

a = 4.6048 Å, b = 4.6048 Å, c = 4.6048 Å
α = 90.00°, β = 90.00°, γ = 90.00°
Closest atoms and distances in Å follow each position.
Space group Pm-3m (No. 221)
Asymmetric unit:
K (0.0000, 0.0000, 0.0000)  12 P 3.26
Mn (0.5000, 0.5000, 0.5000)  6 P 2.30
P (0.0000, 0.5000, 0.5000)  2 Mn 2.30



(3)
VASP calculation (PBE-GGA) on an optimized crystal structure of BaSr2Sb2.

- Formation energy (no corrections): -0.817 eV/atom
- Energy above the lowest structure with this stoichiometry: 219.7 meV/atom
- Crystal system: tetragonal

a = 5.2475 Å, b = 5.2475 Å, c = 14.9536 Å
α = 90.00°, β = 90.00°, γ = 90.00°
Closest atoms and distances in Å follow each position.
Space group I4/mmm (No. 139)
Asymmetric unit:
Ba (0.0000, 0.0000, 0.0000)  8 Sb 4.10, 8 Sr 4.57
Sr (0.0000, 0.5000, 0.2500)  4 Sb 3.30
Sb (0.0000, 0.0000, 0.3841)  4 Sr 3.30, 1 Sb 3.47



(4)
VASP calculation (PBE-GGA) on an optimized crystal structure of TeCSe.

- Formation energy (no corrections): 0.822 eV/atom
- Energy above the lowest structure with this stoichiometry: 34.5 meV/atom
- Crystal system: monoclinic

a = 10.1881 Å, b = 7.4421 Å, c = 6.2591 Å
α = 90.00°, β = 120.84°, γ = 90.00°
Closest atoms and distances in Å follow each position.
Space group Cc (No. 9)
Asymmetric unit:
Te (0.0000, 0.0970, 0.0000)  2 C 2.09-2.13
C (0.3629, 0.4698, 0.6474)  1 Se 1.80
Se (0.1583, 0.4449, 0.4646)  1 C 1.80



(5)
VASP calculation (PBE-GGA) on an optimized crystal structure of MgSiPdRh.

- Formation energy (no corrections): -0.646 eV/atom
- Crystal system: cubic

a = 6.0933 Å, b = 6.0933 Å, c = 6.0933 Å
α = 90.00°, β = 90.00°, γ = 90.00°
Closest atoms and distances in Å follow each position.
Space group F-43m (No. 216)
Asymmetric unit:
Mg (0.0000, 0.0000, 0.0000)  4 Rh 2.64, 4 Pd 2.64
Si (0.0000, 0.0000, 0.5000)  4 Rh 2.64, 4 Pd 2.64
Pd (0.2500, 0.2500, 0.2500)  4 Mg 2.64, 4 Si 2.64
Rh (0.2500, 0.2500, 0.7500)  4 Mg 2.64, 4 Si 2.64



(6)
VASP calculation (PBE-GGA) on an optimized crystal structure of Re2Ag.

- Energy above the lowest structure with this stoichiometry: 680.2 meV/atom
- Crystal system: hexagonal

a = 4.4788 Å, b = 4.4788 Å, c = 5.4161 Å
α = 90.00°, β = 90.00°, γ = 120.00°
Closest atoms and distances in Å follow each position.
Space group P6_3/mmc (No. 194)
Asymmetric unit:
Re (0.0000, 0.0000, 0.0000)  8 Re 2.71-2.92, 6 Ag 2.92
Re (0.3333, 0.6667, 0.2500)  5 Ag 2.59-2.71
Ag (0.3333, 0.6667, 0.7500)  5 Re 2.59-2.71



(7)
VASP calculation (PBE-GGA) on an optimized crystal structure of In2Sn7Pb3.

- Total energy: -44.0 eV per cell
- Crystal system: monoclinic

a = 6.1561 Å, b = 3.3730 Å, c = 16.7041 Å
α = 90.00°, β = 95.41°, γ = 90.00°
Closest atoms and distances in Å follow each position.
Space group P2/m (No. 10)
Asymmetric unit:
In (0.0337, 0.0000, 0.1732)  5 Sn 3.24-3.34, 2 In 3.37, 4 Pb 3.50-3.53
Sn (0.0000, 0.5000, 0.5000)  8 Sn 3.36-3.42, 4 Pb 3.51
Sn (0.2235, 0.0000, 0.6663)  1 In 3.24, 8 Sn 3.37-3.60, 3 Pb 3.39-3.52
Sn (0.2509, 0.0000, 0.0032)  4 Sn 3.08-3.37, 2 In 3.25-3.28
Sn (0.2598, 0.5000, 0.3321)  2 In 3.34, 7 Sn 3.36-3.60, 3 Pb 3.42-3.48
Pb (0.4660, 0.5000, 0.8365)  2 Pb 3.37, 7 Sn 3.42-3.61, 4 In 3.50-3.53
Pb (0.5000, 0.0000, 0.5000)  2 Pb 3.37, 10 Sn 3.39-3.51



(8)
VASP calculation (PBE-GGA) on an optimized crystal structure of NdSm2HoP4.

- Total energy: -52.9 eV per cell
- Crystal system: monoclinic

a = 7.0882 Å, b = 4.0961 Å, c = 7.0890 Å
α = 90.00°, β = 109.46°, γ = 90.00°
Closest atoms and distances in Å follow each position.
Space group P2/m (No. 10)
Asymmetric unit:
Nd (0.0000, 0.0000, 0.0000)  6 P 2.91
Sm (0.0000, 0.5000, 0.5000)  6 P 2.92
Sm (0.5000, 0.0000, 0.5000)  6 P 2.88
Ho (0.5000, 0.5000, 0.0000)  6 P 2.86-2.87
P (0.2549, 0.5000, 0.2499)  1 Ho 2.86, 3 Sm 2.88-2.92, 2 Nd 2.91
P (0.2560, 0.0000, 0.7536)  2 Ho 2.87, 3 Sm 2.88-2.92, 1 Nd 2.91



(9)
VASP calculation (PBE-GGA) on an optimized crystal structure of Sc4Au5.

- Energy above the lowest structure with this stoichiometry: 0.0 meV/atom
- Crystal system: hexagonal

a = 8.2996 Å, b = 8.2996 Å, c = 5.9517 Å
α = 90.00°, β = 90.00°, γ = 120.00°
Closest atoms and distances in Å follow each position.
Space group P6_3/mcm (No. 193)
Asymmetric unit:
Sc (0.0000, 0.0000, 0.0000)  6 Au 2.89, 2 Sc 2.98
Sc (0.0000, 0.3631, 0.2500)  9 Au 2.78-3.04
Au (0.0000, 0.2983, 0.7500)  7 Sc 2.78-3.02
Au (0.3333, 0.6667, 0.0000)  8 Au 2.98-3.28, 6 Sc 3.04



(10)
VASP calculation (PBE-GGA) on an optimized crystal structure of PuMgZn.

- Total energy: -137.7 eV per cell
- Crystal system: orthorhombic

a = 5.4366 Å, b = 9.1893 Å, c = 10.5290 Å
α = 90.00°, β = 90.00°, γ = 90.00°
Closest atoms and distances in Å follow each position.
Space group Fmmm (No. 69)
Asymmetric unit:
Pu (0.0000, 0.1657, 0.0000)  3 Pu 3.05-3.13, 4 Zn 3.06
Mg (0.0000, 0.0000, 0.3480)  4 Zn 2.86, 1 Mg 3.20
Zn (0.2500, 0.2500, 0.2500)  2 Zn 2.72, 4 Mg 2.86



Total moment, record by record: 0.00, 2.03, 0.00, 0.00, 0.00, 1.16, 0.00, 0.00, 0.00, 47.85 μB per cell